# GGA-PBEsol As2Os, optimized geometry
data_As2Os
_cell_length_a 7.257
_cell_length_b 7.257
_cell_length_c 3.070
_cell_angle_alpha 90.00
_cell_angle_beta 90.00
_cell_angle_gamma 120.00
_space_group_name_H-M_alt 'P 1'
_space_group_IT_number 1
loop_
_space_group_symop_operation_xyz
'x,y,z'
loop_
_atom_site_label
_atom_site_fract_x
_atom_site_fract_y
_atom_site_fract_z
As1 0.000 0.287 0.000
As2 0.000 0.611 0.500
As3 0.287 0.000 0.000
As4 0.389 0.389 0.500
As5 0.611 0.000 0.500
As6 0.713 0.713 0.000
Os1 0.000 0.000 0.500
Os2 0.333 0.667 0.000
Os3 0.667 0.333 0.000
# E_form ... 0.22 eV per atom
# Final energy ... -0.534 Ry/atom

# GGA-PBEsol As3Os, optimized geometry
data_As3Os
_cell_length_a 5.733
_cell_length_b 7.207
_cell_length_c 3.109
_cell_angle_alpha 90.00
_cell_angle_beta 90.00
_cell_angle_gamma 90.00
_space_group_name_H-M_alt 'P 1'
_space_group_IT_number 1
loop_
_space_group_symop_operation_xyz
'x,y,z'
loop_
_atom_site_label
_atom_site_fract_x
_atom_site_fract_y
_atom_site_fract_z
As1 0.000 0.000 0.000
As2 0.250 0.250 0.500
As3 0.250 0.750 0.500
As4 0.500 0.500 0.000
As5 0.750 0.250 0.500
As6 0.750 0.750 0.500
Os1 0.000 0.500 0.000
Os2 0.500 0.000 0.000
# E_form ... 0.60 eV per atom
# Final energy ... -0.462 Ry/atom
# Excess energy over the best structure of this formula in the dataset ... 381 meV per atom

# GGA-PBEsol As2Os, optimized geometry
data_As2Os
_cell_length_a 5.827
_cell_length_b 5.827
_cell_length_c 5.701
_cell_angle_alpha 90.00
_cell_angle_beta 90.00
_cell_angle_gamma 90.00
_space_group_name_H-M_alt 'P 1'
_space_group_IT_number 1
loop_
_space_group_symop_operation_xyz
'x,y,z'
loop_
_atom_site_label
_atom_site_fract_x
_atom_site_fract_y
_atom_site_fract_z
As1 0.157 0.343 0.000
As2 0.157 0.657 0.500
As3 0.343 0.157 0.500
As4 0.343 0.843 0.000
As5 0.657 0.157 0.000
As6 0.657 0.843 0.500
As7 0.843 0.343 0.500
As8 0.843 0.657 0.000
Os1 0.000 0.000 0.250
Os2 0.000 0.000 0.750
Os3 0.500 0.500 0.250
Os4 0.500 0.500 0.750
# E_form ... 0.18 eV per atom
# Final energy ... -0.536 Ry/atom

# GGA-PBEsol As2Os, optimized geometry
data_As2Os
_cell_length_a 5.423
_cell_length_b 6.190
_cell_length_c 3.009
_cell_angle_alpha 90.00
_cell_angle_beta 90.00
_cell_angle_gamma 90.00
_space_group_name_H-M_alt 'P 1'
_space_group_IT_number 1
loop_
_space_group_symop_operation_xyz
'x,y,z'
loop_
_atom_site_label
_atom_site_fract_x
_atom_site_fract_y
_atom_site_fract_z
As1 0.171 0.135 0.000
As2 0.329 0.635 0.500
As3 0.671 0.365 0.500
As4 0.829 0.865 0.000
Os1 0.000 0.500 0.000
Os2 0.500 0.000 0.500
# E_form ... -0.25 eV per atom
# Final energy ... -0.568 Ry/atom

# GGA-PBEsol AsOs2, optimized geometry
data_AsOs2
_cell_length_a 4.313
_cell_length_b 4.313
_cell_length_c 2.874
_cell_angle_alpha 90.00
_cell_angle_beta 90.00
_cell_angle_gamma 120.00
_space_group_name_H-M_alt 'P 1'
_space_group_IT_number 1
loop_
_space_group_symop_operation_xyz
'x,y,z'
loop_
_atom_site_label
_atom_site_fract_x
_atom_site_fract_y
_atom_site_fract_z
As1 0.000 0.000 0.000
Os1 0.333 0.667 0.500
Os2 0.667 0.333 0.500
# E_form ... 0.93 eV per atom
# Final energy ... -0.656 Ry/atom

# GGA-PBEsol As3Os, optimized geometry
data_As3Os
_cell_length_a 3.855
_cell_length_b 7.617
_cell_length_c 4.811
_cell_angle_alpha 90.00
_cell_angle_beta 90.00
_cell_angle_gamma 90.00
_space_group_name_H-M_alt 'P 1'
_space_group_IT_number 1
loop_
_space_group_symop_operation_xyz
'x,y,z'
loop_
_atom_site_label
_atom_site_fract_x
_atom_site_fract_y
_atom_site_fract_z
As1 0.000 0.000 0.000
As2 0.000 0.185 0.581
As3 0.000 0.815 0.581
As4 0.500 0.315 0.081
As5 0.500 0.500 0.500
As6 0.500 0.685 0.081
Os1 0.000 0.500 0.811
Os2 0.500 0.000 0.311
# E_form ... 0.22 eV per atom
# Final energy ... -0.490 Ry/atom
# Excess energy over the best structure of this formula in the dataset ... 0 meV per atom

# GGA-PBEsol As3Os, optimized geometry
data_As3Os
_cell_length_a 5.146
_cell_length_b 5.146
_cell_length_c 5.146
_cell_angle_alpha 90.00
_cell_angle_beta 90.00
_cell_angle_gamma 90.00
_space_group_name_H-M_alt 'P 1'
_space_group_IT_number 1
loop_
_space_group_symop_operation_xyz
'x,y,z'
loop_
_atom_site_label
_atom_site_fract_x
_atom_site_fract_y
_atom_site_fract_z
As1 0.000 0.000 0.500
As2 0.000 0.500 0.000
As3 0.000 0.500 0.500
As4 0.500 0.000 0.000
As5 0.500 0.000 0.500
As6 0.500 0.500 0.000
Os1 0.000 0.000 0.000
Os2 0.500 0.500 0.500
# E_form ... 0.43 eV per atom
# Final energy ... -0.474 Ry/atom
# Excess energy over the best structure of this formula in the dataset ... 214 meV per atom

# GGA-PBEsol As3Os, optimized geometry
data_As3Os
_cell_length_a 4.803
_cell_length_b 4.803
_cell_length_c 4.803
_cell_angle_alpha 90.00
_cell_angle_beta 90.00
_cell_angle_gamma 90.00
_space_group_name_H-M_alt 'P 1'
_space_group_IT_number 1
loop_
_space_group_symop_operation_xyz
'x,y,z'
loop_
_atom_site_label
_atom_site_fract_x
_atom_site_fract_y
_atom_site_fract_z
As1 0.000 0.000 0.500
As2 0.000 0.500 0.000
As3 0.500 0.000 0.000
Os1 0.000 0.000 0.000
# E_form ... 1.01 eV per atom
# Final energy ... -0.432 Ry/atom
# Excess energy over the best structure of this formula in the dataset ... 792 meV per atom